# 1
This record from the Alexandria database describes a relaxed K2MoCCl crystal. The functional is PBE.

Cell lengths 6.4628, 3.9361, 6.4628 Å; angles 90.00, 90.00, 90.00 degrees
Positions (direct):
Mo 0.0000 0.0000 0.0000
K 0.5000 0.0000 0.0000
K 0.0000 0.0000 0.5000
Cl 0.5000 0.5000 0.5000
C 0.0000 0.5000 0.0000

Computed properties:
As for the uncorrected formation energy: 0.44 eV per atom. For the total energy, the calculation gives -4.381 eV per atom. For the density of states at the Fermi level, the calculation gives 0.1307 states/eV/atom.

# 2
This record from the Alexandria database describes a relaxed KNb3Se crystal. The functional is PBE.

Cell lengths 4.9400, 4.9400, 4.9400 Å; angles 90.00, 90.00, 90.00 degrees
Positions (direct):
Nb 0.0000 0.0000 0.5000
K 0.5000 0.5000 0.5000
Nb 0.0000 0.5000 0.0000
Se 0.0000 0.0000 0.0000
Nb 0.5000 0.0000 0.0000

Computed properties:
As for the uncorrected formation energy: 1.01 eV per atom. For the total energy, the calculation gives -5.944 eV per atom. The energy above the most stable polymorph in this dataset comes out at 0.000 eV/atom. For the density of states at the Fermi level, the calculation gives 1.7080 states/eV/atom.

# 3
This record from the Alexandria database describes a relaxed Cu2Ni2Ag crystal. The functional is PBE.

Cell lengths 3.4783, 3.4783, 6.1922 Å; angles 73.69, 73.69, 90.00 degrees
Positions (direct):
Cu 0.2500 0.7500 0.5000
Ni 0.6023 0.6023 0.7954
Cu 0.7500 0.2500 0.5000
Ni 0.3977 0.3977 0.2046
Ag 0.0000 0.0000 0.0000

Computed properties:
For the total energy, the calculation gives -4.139 eV per atom. The energy above the most stable polymorph in this dataset comes out at 0.195 eV/atom. The value obtained for the energy of formation from the pure elements is 382 meV per atom. For the density of states at the Fermi level, the calculation gives 0.6766 states/eV/atom.

Question: Number 2 is which compound?
Answer: KNb3Se